[1]
{"formula": "Mg2ZnHg", "functional": "GGA-PBEsol", "state": "optimized geometry", "ef_mev_per_atom": -49, "magnetic_moment_mub_per_fu": 0.00, "lattice": [[4.746, 0.000, 0.000], [2.373, 4.110, 0.000], [2.373, 1.370, 3.875]], "species": ["Mg", "Mg", "Zn", "Hg"], "frac_coords": [[0.000, 0.000, 0.000], [0.750, 0.750, 0.750], [0.250, 0.250, 0.250], [0.500, 0.500, 0.500]]}

=====

[2]
{"formula": "MgZnHg", "functional": "GGA-PBEsol", "state": "optimized geometry", "ef_mev_per_atom": -34, "magnetic_moment_mub_per_fu": 0.00, "lattice": [[3.181, 0.000, 0.000], [-1.591, 2.755, 0.000], [0.000, 0.000, 6.658]], "species": ["Hg", "Mg", "Zn"], "frac_coords": [[0.000, 0.000, 0.008], [0.667, 0.333, 0.659], [0.333, 0.667, 0.333]]}

=====

> Which formula does entry 1 have?

Mg2ZnHg